## Cs2Np3PaO12 (PBE)

Data for a relaxed Cs2Np3PaO12 crystal.

Output
electronic total energy: -8.97 eV per atom

Cell: 7.9382 7.9382 19.4537 Å, 90.00 90.00 120.00°
Space group R-3m (No. 166, hexagonal axes)
Asymmetric unit:
Cs  0.0000  0.0000  0.1228 (multiplicity 6)
Np  0.0000  0.5000  0.0000 (multiplicity 9)
Pa  0.0000  0.0000  0.5000 (multiplicity 3)
O  0.0712  0.5356  0.1036 (multiplicity 18)
O  0.0803  0.5401  0.3523 (multiplicity 18)

## Cs4Np3PaO12 (PBE)

Data for a relaxed Cs4Np3PaO12 crystal.

Output
electronic total energy: -8.24 eV per atom

Cell: 8.809 8.809 8.809 Å, 90.00 90.00 90.00°
Space group Im-3m (No. 229)
Asymmetric unit:
Cs  0.250  0.250  0.250 (multiplicity 8)
Np  0.000  0.000  0.500 (multiplicity 6)
Pa  0.000  0.000  0.000 (multiplicity 2)
O  0.000  0.000  0.252 (multiplicity 12)
O  0.000  0.250  0.500 (multiplicity 12)

Number 1: spin magnetization 4.0 μB/f.u., ΔE_f (raw) -2.8892 eV/atom. Number 2: spin magnetization 6.0 μB/f.u., ΔE_f (raw) -2.6825 eV/atom.